*w*
## NdDyCo2 (PBE-GGA)

Data for NdDyCo2 after structural relaxation.

Space group: No. 26
Total magnetization (μB per formula unit): 0.35

Unit cell a=3.889 b=5.678 c=7.622 alpha=90.00 beta=90.00 gamma=90.00
Site moments in Bohr magnetons follow the coordinates.
Element x y z (fractional)
Co: 0.500 0.832 0.474  0.30
Nd: 0.000 0.132 0.676  -0.06
Dy: 0.500 0.370 0.320  -0.10
Co: 0.000 0.640 0.530  0.31
Co: 0.000 0.360 0.030  0.31
Co: 0.500 0.168 0.974  0.30
Nd: 0.000 0.868 0.176  -0.06
Dy: 0.500 0.630 0.820  -0.10

*x*
## NdDyCo2 (PBE-GGA)

Data for NdDyCo2 after structural relaxation.

Space group: No. 225
Total magnetization (μB per formula unit): 0.74

Unit cell a=4.812 b=4.812 c=4.812 alpha=60.00 beta=60.00 gamma=60.00
Site moments in Bohr magnetons follow the coordinates.
Element x y z (fractional)
Co: 0.750 0.750 0.750  0.69
Dy: 0.000 0.000 0.000  -0.25
Co: 0.250 0.250 0.250  0.69
Nd: 0.500 0.500 0.500  -0.15

If you had to name the least stable structure above, which would it be? It would be *x*.